1.
Compound: Mg3ScW
Source: Alexandria
Functional: SCAN
Structure: PBEsol geometry

- formation enthalpy at 0 K (eV per atom) = 1.1969
- total magnetization (μB/f.u.) = 0.499

a = 5.0500 Å, b = 5.0500 Å, c = 5.0500 Å
α = 90.00°, β = 90.00°, γ = 90.00°
Positions (direct):
Mg 0.0000 0.0000 0.5000
Mg 0.0000 0.5000 0.0000
Mg 0.5000 0.0000 0.0000
Sc 0.5000 0.5000 0.5000
W 0.0000 0.0000 0.0000


2.
Compound: MgScW2
Source: Alexandria
Functional: SCAN
Structure: PBEsol geometry

- formation enthalpy at 0 K (eV per atom) = 0.2838
- total magnetization (μB/f.u.) = 0.000

a = 2.8085 Å, b = 4.4497 Å, c = 5.7987 Å
α = 90.00°, β = 102.30°, γ = 90.00°
Positions (direct):
Mg 0.0000 0.0000 0.0000
Sc 0.7106 0.5000 0.2810
W 0.2759 0.5000 0.7390
W 0.4362 0.0000 0.5319


3.
Compound: MgSc2W2
Source: Alexandria
Functional: SCAN
Structure: PBEsol geometry

- formation enthalpy at 0 K (eV per atom) = 1.0101
- total magnetization (μB/f.u.) = 0.000

a = 7.0299 Å, b = 7.0299 Å, c = 7.0299 Å
α = 147.15°, β = 147.15°, γ = 47.15°
Positions (direct):
Mg 0.0000 0.0000 0.0000
Sc 0.2500 0.7500 0.5000
Sc 0.7500 0.2500 0.5000
W 0.4090 0.4090 0.0000
W 0.5910 0.5910 0.0000


4.
Compound: MgSc2W
Source: Alexandria
Functional: SCAN
Structure: PBEsol geometry

- formation enthalpy at 0 K (eV per atom) = 0.2956
- total magnetization (μB/f.u.) = 0.000

a = 5.2358 Å, b = 5.2358 Å, c = 5.3842 Å
α = 96.26°, β = 96.26°, γ = 32.33°
Positions (direct):
Mg 0.0000 0.0000 0.0000
Sc 0.2476 0.2476 0.7680
Sc 0.4763 0.4763 0.4635
W 0.7347 0.7347 0.2791


5.
Compound: MgSc2W
Source: Alexandria
Functional: SCAN
Structure: PBEsol geometry

- formation enthalpy at 0 K (eV per atom) = 0.4133
- total magnetization (μB/f.u.) = 0.000

a = 5.8314 Å, b = 5.8314 Å, c = 5.8314 Å
α = 149.38°, β = 127.12°, γ = 62.35°
Positions (direct):
Mg 0.0000 0.0000 0.0000
Sc 0.2726 0.7726 0.5000
Sc 0.7274 0.2274 0.5000
W 0.5000 0.5000 0.0000


6.
Compound: MgScW2
Source: Alexandria
Functional: SCAN
Structure: PBEsol geometry

- formation enthalpy at 0 K (eV per atom) = 0.2852
- total magnetization (μB/f.u.) = 0.000

a = 4.5841 Å, b = 4.5841 Å, c = 4.5841 Å
α = 60.00°, β = 60.00°, γ = 60.00°
Positions (direct):
Mg 0.0000 0.0000 0.0000
Sc 0.2500 0.2500 0.2500
W 0.5000 0.5000 0.5000
W 0.7500 0.7500 0.7500


7.
Compound: YMgSc2
Source: Alexandria
Functional: SCAN
Structure: PBEsol geometry

- formation enthalpy at 0 K (eV per atom) = 0.0544
- total magnetization (μB/f.u.) = 0.001

a = 3.8150 Å, b = 5.0875 Å, c = 5.1580 Å
α = 90.00°, β = 90.00°, γ = 90.00°
Positions (direct):
Y 0.0000 0.0000 0.0000
Mg 0.5000 0.0000 0.5000
Sc 0.0000 0.5000 0.5000
Sc 0.5000 0.5000 0.0000


8.
Compound: Y2MgSc
Source: Alexandria
Functional: SCAN
Structure: PBEsol geometry

- formation enthalpy at 0 K (eV per atom) = -0.0288
- total magnetization (μB/f.u.) = 1.065

a = 3.5271 Å, b = 3.5271 Å, c = 8.7128 Å
α = 90.00°, β = 90.00°, γ = 90.00°
Positions (direct):
Y 0.0000 0.0000 0.2492
Y 0.0000 0.0000 0.7508
Mg 0.5000 0.5000 0.5000
Sc 0.5000 0.5000 0.0000